This record from the Alexandria database describes crystalline Sm4Dy2ErMg at its relaxed geometry. The functional is PBE.

Cell lengths 5.0308, 5.0225, 9.9540 Å; angles 90.00, 90.06, 90.00 degrees
Closest atoms and distances in Å follow each position.
Fractional positions:
Sm (0.0004, 0.0000, 0.2471)  4 Dy 3.52-3.56, 2 Mg 3.52, 4 Sm 3.55-3.56, 2 Er 3.56
Sm (0.9996, 0.0000, 0.7529)  4 Dy 3.52-3.56, 2 Mg 3.52, 4 Sm 3.55-3.56, 2 Er 3.56
Sm (0.5000, 0.5000, 0.2471)  2 Mg 3.52, 4 Dy 3.52-3.56, 4 Sm 3.55-3.56, 2 Er 3.56
Sm (0.5000, 0.5000, 0.7529)  2 Mg 3.52, 4 Dy 3.52-3.56, 4 Sm 3.55-3.56, 2 Er 3.56
Dy (0.0000, 0.5000, 0.0000)  8 Sm 3.52, 4 Mg 3.55
Dy (0.5000, 0.0000, 0.5000)  4 Er 3.55, 8 Sm 3.56
Er (0.0000, 0.5000, 0.5000)  4 Dy 3.55, 8 Sm 3.56
Mg (0.5000, 0.0000, 0.0000)  8 Sm 3.52, 4 Dy 3.55

Calculated total energy   -4.267 eV/atom
Calculated formation energy   0.10 eV per formula unit